[1]
## La7Cd (PBE-GGA)

Data for a geometry-optimized La7Cd structure.

Cell: 7.289 7.289 7.289 Å, 60.00 60.00 60.00°
Sites, in units of the cell vectors:
La 0.500 0.000 0.000
Cd 0.000 0.000 0.000
La 0.500 0.000 0.500
La 0.500 0.500 0.500
La 0.000 0.500 0.000
La 0.500 0.500 0.000
La 0.000 0.000 0.500
La 0.000 0.500 0.500

Summary:
E_tot (eV/atom): -4.495
Total magnetization (Bohr magnetons per cell): 0.00
DFT formation energy (eV per atom): -0.069

[2]
## KLi2Tc (PBE-GGA)

Data for a geometry-optimized KLi2Tc structure.

Cell: 7.867 7.867 6.438 Å, 52.34 52.34 90.00°
Each line ends with the local moment (μB).
Sites, in units of the cell vectors:
Tc 0.750 0.250 0.500  2.62
Li 0.375 0.332 0.750  -0.01
Li 0.668 0.125 0.250  -0.02
K 0.500 0.500 0.000  -0.01
Li 0.875 0.918 0.750  -0.01
Tc 0.000 0.000 0.000  2.62
Li 0.082 0.625 0.250  -0.02
K 0.250 0.750 0.500  -0.01

Summary:
E_tot (eV/atom): -2.727
Energy above the lowest structure with this stoichiometry (eV/atom): 0.444
Total magnetization (Bohr magnetons per cell): 5.54
DFT formation energy (eV per atom): 1.096

[3]
## SrInSb (PBE-GGA)

Data for a geometry-optimized SrInSb structure.

Cell: 5.518 5.518 5.518 Å, 60.00 60.00 60.00°
Sites, in units of the cell vectors:
Sb 0.750 0.750 0.750
In 0.500 0.500 0.500
Sr 0.000 0.000 0.000

Summary:
E_tot (eV/atom): -3.254
Total magnetization (Bohr magnetons per cell): 0.00

[4]
## Ac8Pm3Sm2 (PBE-GGA)

Data for a geometry-optimized Ac8Pm3Sm2 structure.

Cell: 7.304 10.311 10.311 Å, 57.82 62.74 62.74°
Sites, in units of the cell vectors:
Ac 0.014 0.187 0.187
Ac 0.458 0.436 0.804
Ac 0.542 0.196 0.564
Ac 0.997 0.397 0.397
Sm 0.462 0.812 0.812
Sm 0.538 0.188 0.188
Pm 0.500 0.000 0.000
Ac 0.542 0.564 0.196
Pm 0.000 0.836 0.164
Pm 0.000 0.164 0.836
Ac 0.003 0.603 0.603
Ac 0.986 0.813 0.813
Ac 0.458 0.804 0.436

Summary:
E_tot (eV/atom): -4.138
Total magnetization (Bohr magnetons per cell): 0.00
DFT formation energy (eV per atom): 0.213

[5]
## MnHg2BiS (PBE-GGA)

Data for a geometry-optimized MnHg2BiS structure.

Cell: 5.803 5.370 5.803 Å, 90.00 90.00 90.00°
Each line ends with the local moment (μB).
Sites, in units of the cell vectors:
Hg 0.000 0.000 0.500  0.01
S 0.000 0.500 0.000  0.05
Mn 0.500 0.500 0.500  4.63
Bi 0.000 0.000 0.000  0.00
Hg 0.500 0.000 0.000  0.00

Summary:
E_tot (eV/atom): -2.830
Total magnetization (Bohr magnetons per cell): 5.20

[6]
## CsCd2SbRh (PBE-GGA)

Data for a geometry-optimized CsCd2SbRh structure.

Cell: 5.416 5.416 5.125 Å, 90.00 90.00 90.00°
Sites, in units of the cell vectors:
Sb 0.000 0.000 0.500
Rh 0.000 0.000 0.000
Cs 0.500 0.500 0.500
Cd 0.500 0.000 0.000
Cd 0.000 0.500 0.000

Summary:
E_tot (eV/atom): -2.988
Total magnetization (Bohr magnetons per cell): 0.00

[7]
## NiAg2Pb (PBE-GGA)

Data for a geometry-optimized NiAg2Pb structure.

Cell: 9.329 9.329 9.329 Å, 19.50 19.50 19.50°
Each line ends with the local moment (μB).
Sites, in units of the cell vectors:
Ag 0.012 0.012 0.012  0.00
Pb 0.250 0.250 0.250  0.01
Ag 0.488 0.488 0.488  0.00
Ni 0.750 0.750 0.750  0.44

Summary:
E_tot (eV/atom): -3.437
Total magnetization (Bohr magnetons per cell): 0.45
DFT formation energy (eV per atom): 0.361

[8]
## BaHfTc2Os (PBE-GGA)

Data for a geometry-optimized BaHfTc2Os structure.

Cell: 4.742 5.658 4.742 Å, 90.00 90.00 90.00°
Each line ends with the local moment (μB).
Sites, in units of the cell vectors:
Ba 0.000 0.500 0.000  -0.03
Tc 0.500 0.000 0.000  0.90
Hf 0.000 0.000 0.000  -0.08
Tc 0.000 0.000 0.500  0.69
Os 0.500 0.500 0.500  0.17

Summary:
E_tot (eV/atom): -6.414
Total magnetization (Bohr magnetons per cell): 1.81
DFT formation energy (eV per atom): 2.354

[9]
## Pm6Ag5Au (PBE-GGA)

Data for a geometry-optimized Pm6Ag5Au structure.

Cell: 5.290 7.374 8.390 Å, 90.00 71.23 90.00°
Sites, in units of the cell vectors:
Pm 0.500 0.246 0.000
Ag 0.328 0.000 0.344
Ag 0.000 0.500 0.000
Ag 0.667 0.500 0.666
Pm 0.500 0.754 0.000
Ag 0.672 0.000 0.656
Ag 0.333 0.500 0.334
Pm 0.165 0.751 0.671
Au 0.000 0.000 0.000
Pm 0.165 0.249 0.671
Pm 0.835 0.249 0.329
Pm 0.835 0.751 0.329

Summary:
E_tot (eV/atom): -4.196
Total magnetization (Bohr magnetons per cell): 0.00
DFT formation energy (eV per atom): -0.360

[10]
## Cu2GeF6 (PBE-GGA)

Data for a geometry-optimized Cu2GeF6 structure.

Cell: 4.903 4.903 9.598 Å, 90.00 90.00 90.00°
Each line ends with the local moment (μB).
Sites, in units of the cell vectors:
F 0.232 0.768 0.000  0.00
F 0.688 0.688 0.857  0.00
Ge 0.500 0.500 0.000  -0.01
F 0.312 0.312 0.857  0.00
F 0.812 0.188 0.643  0.00
F 0.732 0.732 0.500  0.00
Cu 0.000 0.000 0.841  0.12
Cu 0.500 0.500 0.659  0.12
Cu 0.500 0.500 0.341  0.12
F 0.188 0.812 0.357  0.00
F 0.688 0.688 0.143  0.00
F 0.268 0.268 0.500  0.00
F 0.312 0.312 0.143  0.00
Ge 0.000 0.000 0.500  -0.01
F 0.812 0.188 0.357  0.00
Cu 0.000 0.000 0.159  0.12
F 0.188 0.812 0.643  0.00
F 0.768 0.232 0.000  0.00

Summary:
E_tot (eV/atom): -4.409
Energy above the lowest structure with this stoichiometry (eV/atom): 0.000
Total magnetization (Bohr magnetons per cell): 0.47

[11]
## NaNdTl (PBE-GGA)

Data for a geometry-optimized NaNdTl structure.

Cell: 5.382 5.391 8.341 Å, 108.81 108.89 60.06°
Sites, in units of the cell vectors:
Na 0.204 0.707 0.617
Nd 0.629 0.130 0.887
Nd 0.371 0.870 0.113
Tl 0.931 0.434 0.797
Na 0.796 0.293 0.383
Tl 0.069 0.566 0.203

Summary:
E_tot (eV/atom): -2.916
Energy above the lowest structure with this stoichiometry (eV/atom): 0.086
Total magnetization (Bohr magnetons per cell): 0.00
DFT formation energy (eV per atom): -0.098

[12]
## SrNbTcP2 (PBE-GGA)

Data for a geometry-optimized SrNbTcP2 structure.

Cell: 3.948 3.948 7.013 Å, 106.35 106.35 90.00°
Sites, in units of the cell vectors:
P 0.369 0.369 0.738
Nb 0.250 0.750 0.500
P 0.631 0.631 0.262
Tc 0.750 0.250 0.500
Sr 0.000 0.000 0.000

Summary:
E_tot (eV/atom): -7.357
Total magnetization (Bohr magnetons per cell): 0.00
DFT formation energy (eV per atom): -0.770

[13]
## Ho6GaRu5 (PBE-GGA)

Data for a geometry-optimized Ho6GaRu5 structure.

Cell: 4.817 6.875 8.337 Å, 114.35 106.80 90.00°
Sites, in units of the cell vectors:
Ho 0.500 0.738 0.000
Ho 0.171 0.426 0.342
Ho 0.500 0.262 0.000
Ho 0.171 0.915 0.342
Ga 0.000 0.000 0.000
Ru 0.667 0.667 0.333
Ho 0.829 0.574 0.658
Ru 0.664 0.164 0.327
Ho 0.829 0.085 0.658
Ru 0.336 0.836 0.673
Ru 0.000 0.500 0.000
Ru 0.333 0.333 0.667

Summary:
E_tot (eV/atom): -6.838
Total magnetization (Bohr magnetons per cell): 0.00
DFT formation energy (eV per atom): -0.432

[14]
## LiLaTlSn (PBE-GGA)

Data for a geometry-optimized LiLaTlSn structure.

Cell: 5.353 5.353 5.353 Å, 60.00 60.00 60.00°
Sites, in units of the cell vectors:
Sn 0.250 0.250 0.250
La 0.500 0.500 0.500
Li 0.000 0.000 0.000
Tl 0.750 0.750 0.750

Summary:
E_tot (eV/atom): -3.738
Total magnetization (Bohr magnetons per cell): 0.00
DFT formation energy (eV per atom): -0.436